Below is a relaxed Pm2SeCl2 crystal, with properties calculated at the PBE level.

Cell and atoms, written as POSCAR:
```
Pm2SeCl2
1.0
4.130 0.000 0.000
-2.065 3.583 -0.026
0.000 0.000 10.038
Pm Cl Se
2 2 1
Direct
0.831 0.663 0.339
0.169 0.337 0.661
0.837 0.674 0.825
0.163 0.326 0.175
0.500 0.000 0.500
```

Its total magnetic moment is 0.0 μB/cell. The density of states at the Fermi level is 0.55 states/eV per atom. The uncorrected formation energy comes out at -9.8 eV/f.u. Its space group is C2/m, No. 12.

=====

Below is a relaxed Pm4Se3Cl crystal, with properties calculated at the PBE level.

Cell and atoms, written as POSCAR:
```
Pm4Se3Cl
1.0
0.469 3.525 2.286
-1.579 0.206 3.916
11.016 -3.409 6.903
Pm Se Cl
4 3 1
Direct
0.877 0.877 0.368
0.375 0.375 0.874
0.123 0.123 0.632
0.625 0.625 0.126
0.500 0.500 0.500
0.748 0.748 0.755
0.252 0.252 0.245
0.000 0.000 0.000
```

Its total magnetic moment is 0.0 μB/cell. The density of states at the Fermi level is 0.46 states/eV per atom. The uncorrected formation energy comes out at -13.5 eV/f.u. Its space group is R-3m, No. 166.